P | A relaxed CoMo2HIr crystal, computed with PBE.

```
5
Lattice="3.902 0.000 0.000 0.000 3.902 0.000 0.000 0.000 3.837" Properties=species:S:1:pos:R:3 pbc="T T T"
Co 0.000 0.000 0.000
Mo 0.000 1.951 1.918
Mo 1.951 0.000 1.918
H 0.000 0.000 1.918
Ir 1.951 1.951 0.000
```

Calculated values
Total magnetic moment (Bohr magnetons per cell): 0.0



Q | A relaxed CoMo2HIr crystal, computed with PBE.

```
5
Lattice="3.895 0.000 0.000 0.000 3.895 0.000 0.000 0.000 3.892" Properties=species:S:1:pos:R:3 pbc="T T T"
Co 0.000 0.000 0.000
Mo 0.000 1.948 1.946
Mo 1.948 0.000 1.946
H 1.948 1.948 1.946
Ir 1.948 1.948 0.000
```

Calculated values
Total magnetic moment (Bohr magnetons per cell): 0.0



Stability check: which of them is most stable? P.



P | A relaxed NbCoHIr2 crystal, computed with PBE.

```
5
Lattice="3.935 0.000 0.000 0.000 3.935 0.000 0.000 0.000 3.842" Properties=species:S:1:pos:R:3 pbc="T T T"
Nb 0.000 0.000 0.000
Co 1.967 1.967 0.000
H 1.967 1.967 1.921
Ir 0.000 1.967 1.921
Ir 1.967 0.000 1.921
```

Calculated values
Total magnetic moment (Bohr magnetons per cell): 0.5



Q | A relaxed NbCoHIr2 crystal, computed with PBE.

```
5
Lattice="3.880 0.000 0.000 0.000 3.880 0.000 0.000 0.000 3.998" Properties=species:S:1:pos:R:3 pbc="T T T"
Nb 0.000 0.000 0.000
Co 1.940 1.940 0.000
H 0.000 0.000 1.999
Ir 0.000 1.940 1.999
Ir 1.940 0.000 1.999
```

Calculated values
Total magnetic moment (Bohr magnetons per cell): 0.5



Stability check: which of them is most stable? P.



P | A relaxed Nb2CoHIr crystal, computed with PBE.

```
5
Lattice="4.070 0.000 0.000 0.000 4.070 0.000 0.000 0.000 3.798" Properties=species:S:1:pos:R:3 pbc="T T T"
Nb 0.000 2.035 0.000
Nb 2.035 0.000 0.000
Co 0.000 0.000 1.899
H 0.000 0.000 0.000
Ir 2.035 2.035 1.899
```

Calculated values
Total magnetic moment (Bohr magnetons per cell): 0.0



Q | A relaxed Nb2CoHIr crystal, computed with PBE.

```
5
Lattice="4.054 0.000 0.000 0.000 4.054 0.000 0.000 0.000 3.876" Properties=species:S:1:pos:R:3 pbc="T T T"
Nb 0.000 2.027 0.000
Nb 2.027 0.000 0.000
Co 0.000 0.000 1.938
H 2.027 2.027 0.000
Ir 2.027 2.027 1.938
```

Calculated values
Total magnetic moment (Bohr magnetons per cell): 0.0



Stability check: which of them is most stable? P.



P | A relaxed Co2HIrOs crystal, computed with PBE.

```
5
Lattice="3.754 0.000 0.000 0.000 3.754 0.000 0.000 0.000 3.725" Properties=species:S:1:pos:R:3 pbc="T T T"
Co 0.000 1.877 0.000
Co 1.877 0.000 0.000
H 0.000 0.000 0.000
Ir 1.877 1.877 1.862
Os 0.000 0.000 1.862
```

Calculated values
Total magnetic moment (Bohr magnetons per cell): 1.7



Q | A relaxed Co2HIrOs crystal, computed with PBE.

```
5
Lattice="3.765 0.000 0.000 0.000 3.765 0.000 0.000 0.000 3.710" Properties=species:S:1:pos:R:3 pbc="T T T"
Co 0.000 1.882 0.000
Co 1.882 0.000 0.000
H 0.000 0.000 0.000
Ir 0.000 0.000 1.855
Os 1.882 1.882 1.855
```

Calculated values
Total magnetic moment (Bohr magnetons per cell): 2.0



Stability check: which of them is most stable? P.



P | A relaxed Co2HIrPd crystal, computed with PBE.

```
5
Lattice="3.835 0.000 0.000 0.000 3.835 0.000 0.000 0.000 3.722" Properties=species:S:1:pos:R:3 pbc="T T T"
Co 0.000 1.918 0.000
Co 1.918 0.000 0.000
H 0.000 0.000 0.000
Ir 1.918 1.918 1.861
Pd 0.000 0.000 1.861
```

Calculated values
Total magnetic moment (Bohr magnetons per cell): 4.5



Q | A relaxed Co2HIrPd crystal, computed with PBE.

```
5
Lattice="3.835 0.000 0.000 0.000 3.835 0.000 0.000 0.000 3.740" Properties=species:S:1:pos:R:3 pbc="T T T"
Co 0.000 1.918 0.000
Co 1.918 0.000 0.000
H 0.000 0.000 0.000
Ir 0.000 0.000 1.870
Pd 1.918 1.918 1.870
```

Calculated values
Total magnetic moment (Bohr magnetons per cell): 4.6



Stability check: which of them is most stable? Q.



P | A relaxed Co2HIrPt crystal, computed with PBE.

```
5
Lattice="3.847 0.000 0.000 0.000 3.847 0.000 0.000 0.000 3.740" Properties=species:S:1:pos:R:3 pbc="T T T"
Co 0.000 1.923 0.000
Co 1.923 0.000 0.000
H 0.000 0.000 0.000
Ir 1.923 1.923 1.870
Pt 0.000 0.000 1.870
```

Calculated values
Total magnetic moment (Bohr magnetons per cell): 4.5



Q | A relaxed Co2HIrPt crystal, computed with PBE.

```
5
Lattice="3.843 0.000 0.000 0.000 3.843 0.000 0.000 0.000 3.747" Properties=species:S:1:pos:R:3 pbc="T T T"
Co 0.000 1.922 0.000
Co 1.922 0.000 0.000
H 0.000 0.000 0.000
Ir 0.000 0.000 1.873
Pt 1.922 1.922 1.873
```

Calculated values
Total magnetic moment (Bohr magnetons per cell): 4.6



Stability check: which of them is most stable? Q.



P | A relaxed Co2ReHIr crystal, computed with PBE.

```
5
Lattice="3.768 0.000 0.000 0.000 3.768 0.000 0.000 0.000 3.727" Properties=species:S:1:pos:R:3 pbc="T T T"
Co 0.000 1.884 0.000
Co 1.884 0.000 0.000
Re 0.000 0.000 1.863
H 1.884 1.884 0.000
Ir 1.884 1.884 1.863
```

Calculated values
Total magnetic moment (Bohr magnetons per cell): 1.9



Q | A relaxed Co2ReHIr crystal, computed with PBE.

```
5
Lattice="3.737 0.000 0.000 0.000 3.737 0.000 0.000 0.000 3.787" Properties=species:S:1:pos:R:3 pbc="T T T"
Co 0.000 1.869 0.000
Co 1.869 0.000 0.000
Re 0.000 0.000 1.893
H 0.000 0.000 0.000
Ir 1.869 1.869 1.893
```

Calculated values
Total magnetic moment (Bohr magnetons per cell): 1.7



Stability check: which of them is most stable? Q.



P | A relaxed ScCo2HIr crystal, computed with PBE.

```
5
Lattice="3.814 0.000 0.000 0.000 3.814 0.000 0.000 0.000 3.854" Properties=species:S:1:pos:R:3 pbc="T T T"
Sc 0.000 0.000 0.000
Co 0.000 1.907 1.927
Co 1.907 0.000 1.927
H 1.907 1.907 1.927
Ir 1.907 1.907 0.000
```

Calculated values
Total magnetic moment (Bohr magnetons per cell): 0.0



Q | A relaxed ScCo2HIr crystal, computed with PBE.

```
5
Lattice="3.728 0.000 0.000 0.000 3.728 0.000 0.000 0.000 3.996" Properties=species:S:1:pos:R:3 pbc="T T T"
Sc 0.000 0.000 0.000
Co 0.000 1.864 1.998
Co 1.864 0.000 1.998
H 0.000 0.000 1.998
Ir 1.864 1.864 0.000
```

Calculated values
Total magnetic moment (Bohr magnetons per cell): 0.0



Stability check: which of them is most stable? Q.



P | A relaxed TaCo2HIr crystal, computed with PBE.

```
5
Lattice="3.799 0.000 0.000 0.000 3.799 0.000 0.000 0.000 3.798" Properties=species:S:1:pos:R:3 pbc="T T T"
Ta 0.000 0.000 0.000
Co 0.000 1.899 1.899
Co 1.899 0.000 1.899
H 1.899 1.899 1.899
Ir 1.899 1.899 0.000
```

Calculated values
Total magnetic moment (Bohr magnetons per cell): 0.8



Q | A relaxed TaCo2HIr crystal, computed with PBE.

```
5
Lattice="3.734 0.000 0.000 0.000 3.734 0.000 0.000 0.000 3.945" Properties=species:S:1:pos:R:3 pbc="T T T"
Ta 0.000 0.000 0.000
Co 0.000 1.867 1.973
Co 1.867 0.000 1.973
H 0.000 0.000 1.973
Ir 1.867 1.867 0.000
```

Calculated values
Total magnetic moment (Bohr magnetons per cell): 0.8



Stability check: which of them is most stable? P.



P | A relaxed VCoHIr2 crystal, computed with PBE.

```
5
Lattice="3.872 0.000 0.000 0.000 3.872 0.000 0.000 0.000 3.675" Properties=species:S:1:pos:R:3 pbc="T T T"
V 0.000 0.000 0.000
Co 1.936 1.936 0.000
H 1.936 1.936 1.838
Ir 0.000 1.936 1.838
Ir 1.936 0.000 1.838
```

Calculated values
Total magnetic moment (Bohr magnetons per cell): 0.0



Q | A relaxed VCoHIr2 crystal, computed with PBE.

```
5
Lattice="3.830 0.000 0.000 0.000 3.830 0.000 0.000 0.000 3.781" Properties=species:S:1:pos:R:3 pbc="T T T"
V 0.000 0.000 0.000
Co 1.915 1.915 0.000
H 0.000 0.000 1.890
Ir 0.000 1.915 1.890
Ir 1.915 0.000 1.890
```

Calculated values
Total magnetic moment (Bohr magnetons per cell): 0.1



Stability check: which of them is most stable? P.



P | A relaxed VCo2HIr crystal, computed with PBE.

```
5
Lattice="3.675 0.000 0.000 0.000 3.675 0.000 0.000 0.000 3.761" Properties=species:S:1:pos:R:3 pbc="T T T"
V 0.000 0.000 0.000
Co 0.000 1.838 1.881
Co 1.838 0.000 1.881
H 1.838 1.838 1.881
Ir 1.838 1.838 0.000
```

Calculated values
Total magnetic moment (Bohr magnetons per cell): 0.8



Q | A relaxed VCo2HIr crystal, computed with PBE.

```
5
Lattice="3.624 0.000 0.000 0.000 3.624 0.000 0.000 0.000 3.806" Properties=species:S:1:pos:R:3 pbc="T T T"
V 0.000 0.000 0.000
Co 0.000 1.812 1.903
Co 1.812 0.000 1.903
H 0.000 0.000 1.903
Ir 1.812 1.812 0.000
```

Calculated values
Total magnetic moment (Bohr magnetons per cell): 0.4



Stability check: which of them is most stable? Q.



P | A relaxed Y2CoHIr crystal, computed with PBE.

```
5
Lattice="4.860 0.000 0.000 0.000 4.860 0.000 0.000 0.000 3.413" Properties=species:S:1:pos:R:3 pbc="T T T"
Y 0.000 2.430 0.000
Y 2.430 0.000 0.000
Co 0.000 0.000 1.707
H 0.000 0.000 0.000
Ir 2.430 2.430 1.707
```

Calculated values
Total magnetic moment (Bohr magnetons per cell): 0.3



Q | A relaxed Y2CoHIr crystal, computed with PBE.

```
5
Lattice="4.873 0.000 0.000 0.000 4.873 0.000 0.000 0.000 3.536" Properties=species:S:1:pos:R:3 pbc="T T T"
Y 0.000 2.437 0.000
Y 2.437 0.000 0.000
Co 0.000 0.000 1.768
H 2.437 2.437 0.000
Ir 2.437 2.437 1.768
```

Calculated values
Total magnetic moment (Bohr magnetons per cell): 0.7



Stability check: which of them is most stable? P.



P | A relaxed ZnCo2HIr crystal, computed with PBE.

```
5
Lattice="3.631 0.000 0.000 0.000 3.631 0.000 0.000 0.000 3.956" Properties=species:S:1:pos:R:3 pbc="T T T"
Zn 0.000 0.000 0.000
Co 0.000 1.815 1.978
Co 1.815 0.000 1.978
H 0.000 0.000 1.978
Ir 1.815 1.815 0.000
```

Calculated values
Total magnetic moment (Bohr magnetons per cell): 2.8



Q | A relaxed ZnCo2HIr crystal, computed with PBE.

```
5
Lattice="3.720 0.000 0.000 0.000 3.720 0.000 0.000 0.000 3.836" Properties=species:S:1:pos:R:3 pbc="T T T"
Zn 0.000 0.000 0.000
Co 0.000 1.860 1.918
Co 1.860 0.000 1.918
H 1.860 1.860 1.918
Ir 1.860 1.860 0.000
```

Calculated values
Total magnetic moment (Bohr magnetons per cell): 3.5



Stability check: which of them is most stable? Q.



P | A relaxed KCo2H crystal, computed with PBE.

```
4
Lattice="0.000 3.101 3.101 3.101 0.000 3.101 3.101 3.101 0.000" Properties=species:S:1:pos:R:3 pbc="T T T"
K 0.000 0.000 0.000
Co 1.551 1.551 1.551
Co 4.652 4.652 4.652
H 3.101 3.101 3.101
```

Calculated values
Total magnetic moment (Bohr magnetons per cell): 3.0



Q | A relaxed KCo2H crystal, computed with PBE.

```
8
Lattice="0.000 3.861 3.861 3.861 0.000 3.861 3.861 3.861 0.000" Properties=species:S:1:pos:R:3 pbc="T T T"
K 0.965 0.965 0.965
K 6.758 6.758 6.758
Co 3.861 1.931 1.931
Co 1.931 3.861 1.931
Co 1.931 1.931 3.861
Co 3.861 3.861 3.861
H 2.896 2.896 2.896
H 4.827 4.827 4.827
```

Calculated values
Total magnetic moment (Bohr magnetons per cell): 4.9



Stability check: which of them is most stable? Q.